No. 1
Entry from OQMD: a relaxed structure of MoW (PBE).

Values from the calculation:
E_tot   -9.454 eV per atom
DFT formation energy   2.4498 eV/atom
Offset from the most stable computed form   2460 meV/atom
Space group   F-43m

Cell lengths 5.7558, 5.7558, 5.7558 Å; angles 90.00, 90.00, 90.00 degrees
Fractional coordinates of all 8 atoms:
Mo 0.0000 0.0000 0.0000
Mo 0.0000 0.5000 0.5000
Mo 0.5000 0.0000 0.5000
Mo 0.5000 0.5000 0.0000
W 0.2500 0.2500 0.7500
W 0.2500 0.7500 0.2500
W 0.7500 0.2500 0.2500
W 0.7500 0.7500 0.7500

***

No. 2
Entry from OQMD: a relaxed structure of MoW2 (PBE).

Values from the calculation:
E_tot   -11.832 eV per atom
DFT formation energy   0.4240 eV/atom
Offset from the most stable computed form   3 meV/atom
Space group   P6_3/mmc

Cell lengths 5.2295, 5.2295, 17.1654 Å; angles 90.00, 90.00, 120.00 degrees
Fractional coordinates of all 24 atoms:
Mo 0.0000 0.0000 0.1036
Mo 0.0000 0.0000 0.3964
Mo 0.0000 0.0000 0.6036
Mo 0.0000 0.0000 0.8964
Mo 0.3333 0.6667 0.1489
Mo 0.3333 0.6667 0.3511
Mo 0.6667 0.3333 0.6489
Mo 0.6667 0.3333 0.8511
W 0.0000 0.5000 0.0000
W 0.0000 0.5000 0.5000
W 0.1636 0.3273 0.7500
W 0.1636 0.8364 0.7500
W 0.3273 0.1636 0.2500
W 0.3333 0.6667 0.6242
W 0.3333 0.6667 0.8758
W 0.5000 0.0000 0.0000
W 0.5000 0.0000 0.5000
W 0.5000 0.5000 0.0000
W 0.5000 0.5000 0.5000
W 0.6667 0.3333 0.1242
W 0.6667 0.3333 0.3758
W 0.6727 0.8364 0.7500
W 0.8364 0.1636 0.2500
W 0.8364 0.6727 0.2500

***

No. 3
Entry from OQMD: a relaxed structure of MoW2 (PBE).

Values from the calculation:
E_tot   -11.835 eV per atom
DFT formation energy   0.4214 eV/atom
Offset from the most stable computed form   0 meV/atom
Space group   Fd-3m

Cell lengths 5.2338, 5.2338, 5.2338 Å; angles 60.00, 60.00, 60.00 degrees
Fractional coordinates of all 6 atoms:
Mo 0.1250 0.1250 0.1250
Mo 0.8750 0.8750 0.8750
W 0.0000 0.5000 0.5000
W 0.5000 0.0000 0.5000
W 0.5000 0.5000 0.0000
W 0.5000 0.5000 0.5000

***

No. 4
Entry from OQMD: a relaxed structure of MoW2 (PBE).

Values from the calculation:
E_tot   -11.200 eV per atom
DFT formation energy   1.0558 eV/atom
Offset from the most stable computed form   634 meV/atom
Space group   Fm-3m

Cell lengths 6.1058, 6.1058, 6.1058 Å; angles 90.00, 90.00, 90.00 degrees
Fractional coordinates of all 12 atoms:
Mo 0.0000 0.0000 0.0000
Mo 0.0000 0.5000 0.5000
Mo 0.5000 0.0000 0.5000
Mo 0.5000 0.5000 0.0000
W 0.2500 0.2500 0.2500
W 0.2500 0.2500 0.7500
W 0.2500 0.7500 0.2500
W 0.2500 0.7500 0.7500
W 0.7500 0.2500 0.2500
W 0.7500 0.2500 0.7500
W 0.7500 0.7500 0.2500
W 0.7500 0.7500 0.7500

***

No. 5
Entry from OQMD: a relaxed structure of Mo2W (PBE).

Values from the calculation:
E_tot   -10.604 eV per atom
DFT formation energy   0.9486 eV/atom
Offset from the most stable computed form   558 meV/atom
Space group   Fm-3m

Cell lengths 6.0993, 6.0993, 6.0993 Å; angles 90.00, 90.00, 90.00 degrees
Fractional coordinates of all 12 atoms:
Mo 0.2500 0.2500 0.2500
Mo 0.2500 0.2500 0.7500
Mo 0.2500 0.7500 0.2500
Mo 0.2500 0.7500 0.7500
Mo 0.7500 0.2500 0.2500
Mo 0.7500 0.2500 0.7500
Mo 0.7500 0.7500 0.2500
Mo 0.7500 0.7500 0.7500
W 0.0000 0.0000 0.0000
W 0.0000 0.5000 0.5000
W 0.5000 0.0000 0.5000
W 0.5000 0.5000 0.0000

***

No. 6
Entry from OQMD: a relaxed structure of MoW (PBE).

Values from the calculation:
E_tot   -11.914 eV per atom
DFT formation energy   -0.0101 eV/atom
Offset from the most stable computed form   0 meV/atom
Space group   Pm-3m

Cell lengths 3.1730, 3.1730, 3.1730 Å; angles 90.00, 90.00, 90.00 degrees
Fractional coordinates of all 2 atoms:
Mo 0.0000 0.0000 0.0000
W 0.5000 0.5000 0.5000

***

No. 7
Entry from OQMD: a relaxed structure of Mo2W (PBE).

Values from the calculation:
E_tot   -11.150 eV per atom
DFT formation energy   0.4020 eV/atom
Offset from the most stable computed form   11 meV/atom
Space group   P6_3/mmc

Cell lengths 5.1751, 5.1751, 8.5416 Å; angles 90.00, 90.00, 120.00 degrees
Fractional coordinates of all 12 atoms:
Mo 0.0000 0.0000 0.0000
Mo 0.0000 0.0000 0.5000
Mo 0.1700 0.3401 0.2500
Mo 0.1700 0.8300 0.2500
Mo 0.3401 0.1700 0.7500
Mo 0.6599 0.8300 0.2500
Mo 0.8300 0.1700 0.7500
Mo 0.8300 0.6599 0.7500
W 0.3333 0.6667 0.5422
W 0.3333 0.6667 0.9578
W 0.6667 0.3333 0.0422
W 0.6667 0.3333 0.4578

***

No. 8
Entry from OQMD: a relaxed structure of MoW (PBE).

Values from the calculation:
E_tot   -11.906 eV per atom
DFT formation energy   -0.0018 eV/atom
Offset from the most stable computed form   8 meV/atom
Space group   Fd-3m

Cell lengths 6.3453, 6.3453, 6.3453 Å; angles 90.00, 90.00, 90.00 degrees
Fractional coordinates of all 16 atoms:
Mo 0.1250 0.1250 0.1250
Mo 0.1250 0.6250 0.6250
Mo 0.3750 0.3750 0.8750
Mo 0.3750 0.8750 0.3750
Mo 0.6250 0.1250 0.6250
Mo 0.6250 0.6250 0.1250
Mo 0.8750 0.3750 0.3750
Mo 0.8750 0.8750 0.8750
W 0.1250 0.1250 0.6250
W 0.1250 0.6250 0.1250
W 0.3750 0.3750 0.3750
W 0.3750 0.8750 0.8750
W 0.6250 0.1250 0.1250
W 0.6250 0.6250 0.6250
W 0.8750 0.3750 0.8750
W 0.8750 0.8750 0.3750

***

No. 9
Entry from OQMD: a relaxed structure of Y2MoW (PBE).

Values from the calculation:
E_tot   -8.623 eV per atom
DFT formation energy   0.5618 eV/atom
Space group   F-43m

Cell lengths 6.9305, 6.9305, 6.9305 Å; angles 90.00, 90.00, 90.00 degrees
Fractional coordinates of all 16 atoms:
Y 0.0000 0.0000 0.0000
Y 0.0000 0.5000 0.5000
Y 0.2500 0.2500 0.2500
Y 0.2500 0.7500 0.7500
Y 0.5000 0.0000 0.5000
Y 0.5000 0.5000 0.0000
Y 0.7500 0.2500 0.7500
Y 0.7500 0.7500 0.2500
Mo 0.2500 0.2500 0.7500
Mo 0.2500 0.7500 0.2500
Mo 0.7500 0.2500 0.2500
Mo 0.7500 0.7500 0.7500
W 0.0000 0.0000 0.5000
W 0.0000 0.5000 0.0000
W 0.5000 0.0000 0.0000
W 0.5000 0.5000 0.5000

***

No. 10
Entry from OQMD: a relaxed structure of ZrMoW (PBE).

Values from the calculation:
E_tot   -10.104 eV per atom
DFT formation energy   0.6812 eV/atom
Offset from the most stable computed form   439 meV/atom
Space group   F-43m

Cell lengths 6.2810, 6.2810, 6.2810 Å; angles 90.00, 90.00, 90.00 degrees
Fractional coordinates of all 12 atoms:
Zr 0.0000 0.0000 0.0000
Zr 0.0000 0.5000 0.5000
Zr 0.5000 0.0000 0.5000
Zr 0.5000 0.5000 0.0000
Mo 0.2500 0.2500 0.7500
Mo 0.2500 0.7500 0.2500
Mo 0.7500 0.2500 0.2500
Mo 0.7500 0.7500 0.7500
W 0.0000 0.0000 0.5000
W 0.0000 0.5000 0.0000
W 0.5000 0.0000 0.0000
W 0.5000 0.5000 0.5000

***

No. 11
Entry from OQMD: a relaxed structure of ZrMoW (PBE).

Values from the calculation:
E_tot   -10.543 eV per atom
DFT formation energy   0.2420 eV/atom
Offset from the most stable computed form   0 meV/atom
Space group   Pnma

Cell lengths 6.7157, 4.3293, 7.9096 Å; angles 90.00, 90.00, 90.00 degrees
Fractional coordinates of all 12 atoms:
Zr 0.0050 0.2500 0.1909
Zr 0.4950 0.7500 0.6909
Zr 0.5050 0.2500 0.3091
Zr 0.9950 0.7500 0.8091
Mo 0.1559 0.2500 0.5640
Mo 0.3441 0.7500 0.0640
Mo 0.6559 0.2500 0.9360
Mo 0.8441 0.7500 0.4360
W 0.2213 0.7500 0.3925
W 0.2787 0.2500 0.8925
W 0.7213 0.7500 0.1075
W 0.7787 0.2500 0.6075

***

No. 12
Entry from OQMD: a relaxed structure of ZrMoW (PBE).

Values from the calculation:
E_tot   -10.532 eV per atom
DFT formation energy   0.2533 eV/atom
Offset from the most stable computed form   11 meV/atom
Space group   Pnma

Cell lengths 6.5746, 4.3624, 8.0181 Å; angles 90.00, 90.00, 90.00 degrees
Fractional coordinates of all 12 atoms:
Zr 0.0091 0.2500 0.1893
Zr 0.4909 0.7500 0.6893
Zr 0.5091 0.2500 0.3107
Zr 0.9909 0.7500 0.8107
Mo 0.2214 0.7500 0.3815
Mo 0.2786 0.2500 0.8815
Mo 0.7214 0.7500 0.1185
Mo 0.7786 0.2500 0.6185
W 0.1585 0.2500 0.5560
W 0.3415 0.7500 0.0560
W 0.6585 0.2500 0.9440
W 0.8415 0.7500 0.4440

***

No. 13
Entry from OQMD: a relaxed structure of ZrMoW6 (PBE).

Values from the calculation:
E_tot   -12.127 eV per atom
DFT formation energy   0.0177 eV/atom
Space group   P4/mmm

Cell lengths 4.5439, 4.5439, 6.4352 Å; angles 90.00, 90.00, 90.00 degrees
Fractional coordinates of all 8 atoms:
Zr 0.0000 0.0000 0.0000
Mo 0.5000 0.5000 0.5000
W 0.0000 0.0000 0.5000
W 0.0000 0.5000 0.2563
W 0.0000 0.5000 0.7437
W 0.5000 0.0000 0.2563
W 0.5000 0.0000 0.7437
W 0.5000 0.5000 0.0000

***

No. 14
Entry from OQMD: a relaxed structure of YZn2Mo (PBE).

Values from the calculation:
E_tot   -4.531 eV per atom
DFT formation energy   0.4300 eV/atom
Space group   F-43m

Cell lengths 6.6639, 6.6639, 6.6639 Å; angles 90.00, 90.00, 90.00 degrees
Fractional coordinates of all 16 atoms:
Y 0.0000 0.0000 0.0000
Y 0.0000 0.5000 0.5000
Y 0.5000 0.0000 0.5000
Y 0.5000 0.5000 0.0000
Zn 0.0000 0.0000 0.5000
Zn 0.0000 0.5000 0.0000
Zn 0.2500 0.2500 0.2500
Zn 0.2500 0.7500 0.7500
Zn 0.5000 0.0000 0.0000
Zn 0.5000 0.5000 0.5000
Zn 0.7500 0.2500 0.7500
Zn 0.7500 0.7500 0.2500
Mo 0.2500 0.2500 0.7500
Mo 0.2500 0.7500 0.2500
Mo 0.7500 0.2500 0.2500
Mo 0.7500 0.7500 0.7500

***

| no. | magnetization (μB per cell) |
| --- | --- |
| 1 | 0.05 |
| 2 | 0.00 |
| 3 | 0.00 |
| 4 | 0.02 |
| 5 | 0.02 |
| 6 | 0.00 |
| 7 | 0.01 |
| 8 | 0.00 |
| 9 | 0.05 |
| 10 | 0.00 |
| 11 | 0.00 |
| 12 | 0.02 |
| 13 | 0.00 |
| 14 | 3.99 |